A relaxed GaSnP2Os crystal, computed with PBE-GGA.

Summary:
The density of states at the Fermi level comes out at 0.877 states/eV/atom. For the formation energy, the calculation gives 0.450 eV/atom. The value obtained for the total moment is 0.00 Bohr magnetons per cell.

a b c (Å): 4.468 4.468 5.877
angles (deg): 90.00 90.00 90.00
Space group P4/mmm (No. 123)
Symmetry-distinct sites (fractional):
Ga 0.000 0.000 0.000 [1 per cell]
Sn 0.500 0.500 0.000 [1 per cell]
P 0.000 0.500 0.500 [2 per cell]
Os 0.500 0.500 0.500 [1 per cell]


A relaxed SrGaPOs2 crystal, computed with PBE-GGA.

Summary:
The density of states at the Fermi level comes out at 0.395 states/eV/atom. For the formation energy, the calculation gives 0.407 eV/atom. The value obtained for the total moment is 0.00 Bohr magnetons per cell.

a b c (Å): 4.471 4.471 5.073
angles (deg): 90.00 90.00 90.00
Space group P4/mmm (No. 123)
Symmetry-distinct sites (fractional):
Sr 0.000 0.000 0.000 [1 per cell]
Ga 0.500 0.500 0.000 [1 per cell]
P 0.500 0.500 0.500 [1 per cell]
Os 0.000 0.500 0.500 [2 per cell]


A relaxed GaTcPOs crystal, computed with PBE-GGA.

Summary:
The density of states at the Fermi level comes out at 0.440 states/eV/atom. For the formation energy, the calculation gives -0.105 eV/atom. For the distance to the lowest polymorph of the same formula, the calculation gives 0.0929 eV/atom. The value obtained for the total moment is 0.00 Bohr magnetons per cell.

a b c (Å): 8.130 3.034 5.347
angles (deg): 90.00 114.61 90.00
Space group Cm (No. 8)
Symmetry-distinct sites (fractional):
Ga 0.000 0.000 0.000 [2 per cell]
Tc 0.413 0.000 0.360 [2 per cell]
P 0.218 0.500 0.444 [2 per cell]
Os 0.210 0.000 0.764 [2 per cell]


A relaxed GaTcPOs crystal, computed with PBE-GGA.

Summary:
The density of states at the Fermi level comes out at 0.466 states/eV/atom. For the formation energy, the calculation gives -0.164 eV/atom. For the distance to the lowest polymorph of the same formula, the calculation gives 0.0344 eV/atom. The value obtained for the total moment is 0.00 Bohr magnetons per cell.

a b c (Å): 2.950 3.650 5.328
angles (deg): 90.00 90.00 90.00
Space group Pmm2 (No. 25)
Symmetry-distinct sites (fractional):
Ga 0.000 0.000 0.000 [1 per cell]
Tc 0.000 0.500 0.354 [1 per cell]
P 0.500 0.000 0.501 [1 per cell]
Os 0.500 0.500 0.794 [1 per cell]